Below is a geometry-optimized Pt5Rh structure, with properties calculated at the GGA-PBE level.

Cell: 5.2108 5.2108 5.2108 Å, 60.00 60.00 60.00°
Closest atoms and distances in Å follow each position.
Sites, in units of the cell vectors:
Pt (0.3750, 0.8749, 0.3750)  6 Pt 2.61
Pt (0.3750, 0.3750, 0.3750)  6 Pt 2.61
Rh (0.0000, 0.0000, 0.0000)  16 Pt 3.06-3.19
Pt (0.3750, 0.3750, 0.8749)  6 Pt 2.61
Pt (0.7500, 0.7500, 0.7500)  12 Pt 3.06, 4 Rh 3.19
Pt (0.8749, 0.3750, 0.3750)  6 Pt 2.61

Calculated volume: 100.0 Å³ per cell
Spin magnetization: 0.4332 μB per atom
Fermi-level density of states: 9.13 states/eV/f.u.
Final energy: -35.50 eV per cell
Space group: F-43m